MgPtSCl2: single point on PBEsol structure, meta-GGA SCAN.

space group = P4/mmm, No. 123
calculated volume = 20.8 Å³ per atom
raw formation energy = -39 meV/atom
calculated total energy = -20.190 eV/atom

```
MgPtSCl2
1.0
4.5089 0.0000 0.0000
0.0000 4.5089 0.0000
0.0000 0.0000 5.1234
Mg Pt S Cl
1 1 1 2
direct
0.0000 0.0000 0.0000
0.5000 0.5000 0.5000
0.0000 0.0000 0.5000
0.0000 0.5000 0.0000
0.5000 0.0000 0.0000
```

---

YInOs2: single point on PBEsol structure, meta-GGA SCAN.

space group = I-4m2, No. 119
calculated volume = 17.7 Å³ per atom
calculated total energy = -50.938 eV/atom
ΔH_f (0 K) = 1.24 eV per formula unit

```
YInOs2
1.0
-2.0148 2.0148 4.3609
2.0148 -2.0148 4.3609
2.0148 2.0148 -4.3609
Y In Os
1 1 2
direct
0.0000 0.0000 0.0000
0.7500 0.2500 0.5000
0.2500 0.7500 0.5000
0.5000 0.5000 0.0000
```